[1]
A relaxed structure of BeReAg3. Source: Alexandria, functional GGA-PBE.

CIF file:
```
data_BeReAg3
_chemical_formula_sum 'Be1 Re1 Ag3'
_symmetry_space_group_name_H-M 'P m -3 m'
_symmetry_Int_Tables_number 221
_symmetry_space_group_name_Hall '-P 4 2 3'
_cell_length_a 4.312
_cell_length_b 4.312
_cell_length_c 4.312
_cell_angle_alpha 90.00
_cell_angle_beta 90.00
_cell_angle_gamma 90.00
loop_
_atom_site_label
_atom_site_type_symbol
_atom_site_fract_x
_atom_site_fract_y
_atom_site_fract_z
Be1 Be 0.000 0.000 0.000
Re1 Re 0.500 0.500 0.500
Ag1 Ag 0.000 0.000 0.500
```

For the total magnetization, the calculation gives 0.73 Bohr magnetons per cell. The calculation puts the energy relative to the elements at 5.65 eV per formula unit. The offset from the most stable computed form is 0.0 meV per atom. As for the density of states at the Fermi level: 3.23 states/eV/f.u. The calculated volume is 80.2 Å³/cell.



[2]
A relaxed structure of Er2GeH2. Source: Alexandria, functional GGA-PBE.

CIF file:
```
data_Er2GeH2
_chemical_formula_sum 'Er4 Ge2 H4'
_symmetry_space_group_name_H-M 'C 1 2/m 1'
_symmetry_Int_Tables_number 12
_symmetry_space_group_name_Hall '-C 2y'
_cell_length_a 5.111
_cell_length_b 5.145
_cell_length_c 6.375
_cell_angle_alpha 90.00
_cell_angle_beta 113.40
_cell_angle_gamma 90.00
loop_
_atom_site_label
_atom_site_type_symbol
_atom_site_fract_x
_atom_site_fract_y
_atom_site_fract_z
Er1 Er 0.143 0.000 0.283
Ge1 Ge 0.000 0.500 0.000
H1 H 0.000 0.250 0.500
```

For the total magnetization, the calculation gives 0.00 Bohr magnetons per cell. As for the density of states at the Fermi level: 1.00 states/eV/f.u. The calculated volume is 153.9 Å³/cell. As for the raw total energy: -4.82 eV per atom.



[3]
A relaxed structure of BePRh2. Source: Alexandria, functional GGA-PBE.

CIF file:
```
data_BePRh2
_chemical_formula_sum 'Be4 P4 Rh8'
_symmetry_space_group_name_H-M 'F -4 3 m'
_symmetry_Int_Tables_number 216
_symmetry_space_group_name_Hall 'F -4 2 3'
_cell_length_a 5.916
_cell_length_b 5.916
_cell_length_c 5.916
_cell_angle_alpha 90.00
_cell_angle_beta 90.00
_cell_angle_gamma 90.00
loop_
_atom_site_label
_atom_site_type_symbol
_atom_site_fract_x
_atom_site_fract_y
_atom_site_fract_z
Be1 Be 0.000 0.000 0.000
P1 P 0.250 0.250 0.250
Rh1 Rh 0.000 0.000 0.500
Rh2 Rh 0.250 0.250 0.750
```

For the total magnetization, the calculation gives 0.00 Bohr magnetons per cell. The calculation puts the energy relative to the elements at 0.36 eV per formula unit. The offset from the most stable computed form is 657.0 meV per atom. As for the density of states at the Fermi level: 4.76 states/eV/f.u. The calculated volume is 207.0 Å³/cell.



[4]
A relaxed structure of KAgF3. Source: Alexandria, functional GGA-PBE.

CIF file:
```
data_KAgF3
_chemical_formula_sum 'K2 Ag2 F6'
_symmetry_space_group_name_H-M 'P 63/m m c'
_symmetry_Int_Tables_number 194
_symmetry_space_group_name_Hall '-P 6c 2c'
_cell_length_a 4.3456
_cell_length_b 4.3456
_cell_length_c 8.9999
_cell_angle_alpha 90.00
_cell_angle_beta 90.00
_cell_angle_gamma 120.00
loop_
_atom_site_label
_atom_site_type_symbol
_atom_site_fract_x
_atom_site_fract_y
_atom_site_fract_z
K1 K 0.3333 0.6667 0.2500
Ag1 Ag 0.0000 0.0000 0.0000
F1 F 0.0000 0.0000 0.2500
F2 F 0.3333 0.6667 0.5517
```

For the total magnetization, the calculation gives 1.41 Bohr magnetons per cell. As for the density of states at the Fermi level: 4.68 states/eV/f.u. The calculated volume is 147.2 Å³/cell. Its uncorrected formation energy is -1.6388 eV per atom.



[5]
A relaxed structure of NdThCo2. Source: Alexandria, functional GGA-PBE.

CIF file:
```
data_NdThCo2
_chemical_formula_sum 'Nd3 Th3 Co6'
_symmetry_space_group_name_H-M 'R -3 m'
_symmetry_Int_Tables_number 166
_symmetry_space_group_name_Hall '-R 3 2"'
_cell_length_a 3.9174
_cell_length_b 3.9174
_cell_length_c 19.6841
_cell_angle_alpha 90.00
_cell_angle_beta 90.00
_cell_angle_gamma 120.00
loop_
_atom_site_label
_atom_site_type_symbol
_atom_site_fract_x
_atom_site_fract_y
_atom_site_fract_z
Nd1 Nd 0.0000 0.0000 0.0000
Th1 Th 0.0000 0.0000 0.5000
Co1 Co 0.0000 0.0000 0.2449
```

For the total magnetization, the calculation gives 0.00 Bohr magnetons per cell. The calculation puts the energy relative to the elements at -0.06 eV per formula unit. The offset from the most stable computed form is 168.6 meV per atom. As for the density of states at the Fermi level: 3.07 states/eV/f.u. The calculated volume is 261.6 Å³/cell.



[6]
A relaxed structure of CuTe. Source: Alexandria, functional GGA-PBE.

CIF file:
```
data_CuTe
_chemical_formula_sum 'Cu6 Te6'
_symmetry_space_group_name_H-M 'P m m n'
_symmetry_Int_Tables_number 59
_cell_length_a 3.970
_cell_length_b 12.347
_cell_length_c 5.888
_cell_angle_alpha 90.00
_cell_angle_beta 90.00
_cell_angle_gamma 90.00
loop_
_symmetry_equiv_pos_as_xyz
'x,y,z'
'-x,-y,-z'
'-x+1/2,-y+1/2,z'
'x+1/2,y+1/2,-z'
'x+1/2,-y,-z'
'-x+1/2,y,z'
'-x,y+1/2,-z'
'x,-y+1/2,z'
loop_
_atom_site_label
_atom_site_type_symbol
_atom_site_fract_x
_atom_site_fract_y
_atom_site_fract_z
Cu1 Cu 0.250 0.071 0.023
Cu2 Cu 0.250 0.750 0.471
Te1 Te 0.250 0.250 0.802
Te2 Te 0.250 0.572 0.694
```

For the total magnetization, the calculation gives 0.00 Bohr magnetons per cell. As for the density of states at the Fermi level: 1.53 states/eV/f.u. The calculated volume is 288.6 Å³/cell. Its uncorrected formation energy is -0.0051 eV per atom.



[7]
A relaxed structure of LaSeS2Cl. Source: Alexandria, functional GGA-PBE.

CIF file:
```
data_LaSeS2Cl
_chemical_formula_sum 'La1 Se1 S2 Cl1'
_symmetry_space_group_name_H-M 'P 4/m m m'
_symmetry_Int_Tables_number 123
_symmetry_space_group_name_Hall '-P 4 2'
_cell_length_a 4.890
_cell_length_b 4.890
_cell_length_c 5.040
_cell_angle_alpha 90.00
_cell_angle_beta 90.00
_cell_angle_gamma 90.00
loop_
_atom_site_label
_atom_site_type_symbol
_atom_site_fract_x
_atom_site_fract_y
_atom_site_fract_z
La1 La 0.000 0.000 0.000
Se1 Se 0.500 0.500 0.500
S1 S 0.000 0.500 0.500
Cl1 Cl 0.500 0.500 0.000
```

For the total magnetization, the calculation gives 0.31 Bohr magnetons per cell. The offset from the most stable computed form is 0.0 meV per atom. As for the density of states at the Fermi level: 3.93 states/eV/f.u. The calculated volume is 120.5 Å³/cell. Its uncorrected formation energy is -0.6319 eV per atom.



[8]
A relaxed structure of Tm4CdS2. Source: Alexandria, functional GGA-PBE.

CIF file:
```
data_Tm4CdS2
_chemical_formula_sum 'Tm16 Cd4 S8'
_symmetry_space_group_name_H-M 'C m c m'
_symmetry_Int_Tables_number 63
_symmetry_space_group_name_Hall '-C 2c 2'
_cell_length_a 3.906
_cell_length_b 12.740
_cell_length_c 13.391
_cell_angle_alpha 90.00
_cell_angle_beta 90.00
_cell_angle_gamma 90.00
loop_
_atom_site_label
_atom_site_type_symbol
_atom_site_fract_x
_atom_site_fract_y
_atom_site_fract_z
Tm1 Tm 0.000 0.000 0.000
Tm2 Tm 0.000 0.266 0.118
Tm3 Tm 0.000 0.427 0.750
Cd1 Cd 0.000 0.109 0.750
S1 S 0.000 0.365 0.557
```

For the total magnetization, the calculation gives 0.00 Bohr magnetons per cell. As for the density of states at the Fermi level: 4.25 states/eV/f.u. The calculated volume is 666.3 Å³/cell. Its uncorrected formation energy is -1.2087 eV per atom.